Record 1
# PBE K2MnFe, relaxed
# - energy above the lowest structure with this stoichiometry (kcal/mol of atoms) = 5.493
data_K2MnFe
_symmetry_space_group_name_H-M 'I m m 2'
_symmetry_Int_Tables_number 44
_cell_length_a 3.277
_cell_length_b 5.944
_cell_length_c 12.053
_cell_angle_alpha 90.00
_cell_angle_beta 90.00
_cell_angle_gamma 90.00
loop_
_symmetry_equiv_pos_as_xyz
'x,y,z'
'-x,-y,z'
'-x,y,z'
'x,-y,z'
'x+1/2,y+1/2,z+1/2'
'-x+1/2,-y+1/2,z+1/2'
'-x+1/2,y+1/2,z+1/2'
'x+1/2,-y+1/2,z+1/2'
loop_
_atom_site_label
_atom_site_fract_x
_atom_site_fract_y
_atom_site_fract_z
_atom_site_occupancy
K1 0.000 0.000 0.000 1
K2 0.000 0.500 0.202 1
Mn1 0.000 0.000 0.398 1
Fe1 0.000 0.500 0.787 1

=====

Record 2
# PBE KMnFe2, relaxed
# - energy above the lowest structure with this stoichiometry (kcal/mol of atoms) = 1.684
data_KMnFe2
_symmetry_space_group_name_H-M 'P 1 2/m 1'
_symmetry_Int_Tables_number 10
_cell_length_a 2.642
_cell_length_b 3.519
_cell_length_c 7.710
_cell_angle_alpha 90.00
_cell_angle_beta 92.49
_cell_angle_gamma 90.00
loop_
_symmetry_equiv_pos_as_xyz
'x,y,z'
'-x,-y,-z'
'-x,y,-z'
'x,-y,z'
loop_
_atom_site_label
_atom_site_fract_x
_atom_site_fract_y
_atom_site_fract_z
_atom_site_occupancy
K1 0.000 0.000 0.000 1
Mn1 0.000 0.000 0.500 1
Fe1 0.482 0.500 0.350 1

=====

Record 3
# PBE KMnFe2, relaxed
# - energy above the lowest structure with this stoichiometry (kcal/mol of atoms) = 14.167
data_KMnFe2
_symmetry_space_group_name_H-M 'P m m m'
_symmetry_Int_Tables_number 47
_cell_length_a 2.790
_cell_length_b 4.955
_cell_length_c 5.047
_cell_angle_alpha 90.00
_cell_angle_beta 90.00
_cell_angle_gamma 90.00
loop_
_symmetry_equiv_pos_as_xyz
'x,y,z'
'-x,-y,-z'
'-x,-y,z'
'x,y,-z'
'x,-y,-z'
'-x,y,z'
'-x,y,-z'
'x,-y,z'
loop_
_atom_site_label
_atom_site_fract_x
_atom_site_fract_y
_atom_site_fract_z
_atom_site_occupancy
K1 0.000 0.000 0.000 1
Mn1 0.500 0.500 0.000 1
Fe1 0.000 0.500 0.500 1
Fe2 0.500 0.000 0.500 1

=====

Number 1: N(E_F) 3.825 states/eV per cell. Number 2: N(E_F) 5.641 states/eV per cell. Number 3: N(E_F) 6.124 states/eV per cell.